{
  "formula": "CdTc3Br",
  "functional": "PBE",
  "state": "relaxed",
  "lattice": [[5.1975, 0.0000, 0.0000], [0.0000, 5.1975, 0.0000], [0.0000, 0.0000, 5.1975]],
  "species": ["Cd", "Tc", "Tc", "Tc", "Br"],
  "frac_coords": [[0.0000, 0.0000, 0.0000], [0.0000, 0.0000, 0.5000], [0.0000, 0.5000, 0.0000], [0.5000, 0.0000, 0.0000], [0.5000, 0.5000, 0.5000]],
  "total_magnetization_mub_per_atom": 2.215,
  "raw_formation_energy_ev_per_fu": 11.800,
  "de_polymorph_mev_per_atom": 920
}